No. 1
12
Lattice="-2.328 0.735 -4.835 -1.075 -4.524 2.778 -5.185 1.141 1.642" Properties=species:S:1:pos:R:3 comment="Li2AgF3, optimized geometry, DFT PBE" e_above_lowest_polymorph_ev_per_atom=0.058 formation_energy_uncorrected_mev_per_atom=-2211 n_ef_per_ev_atom=0.00 magnetic_moment_mub_per_atom=0.0000 pbc="T T T"
F -6.625 -2.200 -0.429
F -4.307 -1.669 -2.180
F -1.963 -0.448 0.013
F -4.280 -0.979 1.765
F -3.927 -3.264 0.128
F -4.660 0.616 -0.544
Ag -1.481 -2.819 0.310
Ag -1.922 -0.970 -2.367
Li 0.000 0.000 0.000
Li -4.721 0.469 -2.803
Li -4.294 -1.324 -0.208
Li -3.866 -3.117 2.388

***

No. 2
20
Lattice="6.389 0.824 0.855 3.159 7.475 1.648 3.159 1.369 7.531" Properties=species:S:1:pos:R:3 comment="TmTlAg2F6, optimized geometry, DFT PBE" formation_energy_uncorrected_mev_per_atom=-2342 n_ef_per_ev_atom=0.00 magnetic_moment_mub_per_atom=0.0000 pbc="T T T"
F 6.729 5.036 6.179
F 8.568 7.999 4.097
F 2.783 3.268 4.344
F 6.293 7.292 5.025
F 5.373 3.386 7.718
F 9.924 6.400 5.689
F 5.977 4.632 3.854
F 7.333 6.282 2.315
F 9.488 5.163 7.901
F 3.219 4.505 2.132
F 4.138 1.669 5.936
F 6.413 2.376 5.009
Tm 7.950 5.901 4.401
Tm 4.756 3.767 5.633
Ag 9.184 7.602 7.609
Ag 5.989 6.910 7.451
Ag 3.522 2.066 2.424
Ag 6.717 2.758 2.582
Tl 4.756 6.722 2.785
Tl 7.950 2.946 7.248

***

No. 3
10
Lattice="5.850 0.000 1.747 2.925 6.116 0.873 0.405 0.000 9.012" Properties=species:S:1:pos:R:3 comment="Tb3CeY, optimized geometry, DFT PBE" n_ef_per_ev_atom=2.24 magnetic_moment_mub_per_atom=0.1580 ef_mev_per_atom=204 pbc="T T T"
Tb 6.729 4.483 9.080
Tb 2.450 1.634 2.552
Tb 4.794 0.000 4.832
Tb 1.460 0.000 5.926
Tb 5.375 4.483 3.426
Tb 3.804 1.634 8.207
Ce 6.052 2.790 6.253
Ce 3.127 3.327 5.379
Y 2.925 4.472 0.873
Y 5.850 1.645 1.747

***

No. 4
8
Lattice="-1.951 -3.592 0.848 0.168 -3.160 -2.723 7.045 -5.420 3.524" Properties=species:S:1:pos:R:3 comment="CaGa4Cu2Rh, optimized geometry, DFT PBE" n_ef_per_ev_atom=0.50 magnetic_moment_mub_per_atom=0.0000 ef_mev_per_atom=-343 pbc="T T T"
Ga 1.209 -7.994 -0.251
Ga 4.843 -7.004 2.026
Ga 4.053 -4.179 1.899
Ga 0.419 -5.168 -0.377
Cu 3.525 -8.954 1.007
Cu 1.737 -3.218 0.641
Rh 2.631 -6.086 0.824
Ca 0.000 0.000 0.000

***

No. 5
9
Lattice="-3.672 -1.203 0.166 0.557 -3.000 -9.380 2.359 -6.192 7.307" Properties=species:S:1:pos:R:3 comment="KBa2Pb6, optimized geometry, DFT PBE" n_ef_per_ev_atom=0.68 magnetic_moment_mub_per_atom=0.0000 ef_mev_per_atom=-298 pbc="T T T"
Pb 0.107 -6.726 -1.298
Pb -1.650 -1.602 -3.047
Pb 0.894 -8.792 1.140
Pb -0.863 -3.669 -0.609
Pb -0.492 -5.667 -6.858
Pb -0.264 -4.727 4.952
Ba 1.758 -5.128 1.745
Ba -2.514 -5.266 -3.651
K 2.359 -6.192 7.307

***

No. 6
5
Lattice="1.559 6.118 0.523 -1.957 5.246 -2.963 -3.172 5.139 1.914" Properties=species:S:1:pos:R:3 comment="Zr2Tl3, optimized geometry, DFT PBE" e_above_lowest_polymorph_ev_per_atom=0.139 n_ef_per_ev_atom=0.92 magnetic_moment_mub_per_atom=0.1975 ef_mev_per_atom=155 pbc="T T T"
Tl -2.855 13.200 -0.421
Tl -0.714 3.304 -0.105
Tl 0.000 0.000 0.000
Zr -1.388 6.416 -0.204
Zr -2.181 10.087 -0.321

***

No. 7
5
Lattice="4.360 0.000 0.000 0.000 4.360 0.000 -2.180 -2.180 8.679" Properties=species:S:1:pos:R:3 comment="Pm2Er2In, optimized geometry, DFT PBE" e_above_lowest_polymorph_ev_per_atom=0.372 n_ef_per_ev_atom=1.47 magnetic_moment_mub_per_atom=0.0001 ef_mev_per_atom=329 pbc="T T T"
Er 2.180 2.180 1.520
Er 0.000 0.000 7.159
In 0.000 0.000 0.000
Pm 2.180 0.000 4.340
Pm 0.000 2.180 4.340

***

No. 8
11
Lattice="5.803 0.001 0.109 -2.868 5.045 0.109 -0.987 -1.696 6.303" Properties=species:S:1:pos:R:3 comment="K2Tb2PtO6, optimized geometry, DFT PBE" formation_energy_uncorrected_mev_per_atom=-2137 n_ef_per_ev_atom=0.00 magnetic_moment_mub_per_atom=0.0000 pbc="T T T"
O 1.531 2.631 4.433
O 1.292 -0.903 4.291
O -1.423 0.677 4.291
O 0.657 4.253 2.230
O 0.418 0.719 2.088
O 3.372 2.673 2.230
Tb -0.451 2.504 3.261
Tb 2.400 0.845 3.261
K 4.424 0.803 0.109
K -1.489 4.243 0.109
Pt -0.493 -0.848 3.151

***

No. 9
4
Lattice="-4.640 3.039 -1.420 -3.163 -1.547 -4.515 -5.222 -2.213 0.786" Properties=species:S:1:pos:R:3 comment="Pm2SmLu, optimized geometry, DFT PBE" e_above_lowest_polymorph_ev_per_atom=0.110 n_ef_per_ev_atom=2.16 magnetic_moment_mub_per_atom=0.0002 ef_mev_per_atom=127 pbc="T T T"
Pm -3.256 -0.180 -1.287
Pm -9.769 -0.541 -3.862
Lu 0.000 0.000 0.000
Sm -6.513 -0.360 -2.574

***

No. 10
4
Lattice="-1.016 0.684 4.445 0.715 -3.363 3.072 3.386 0.395 3.104" Properties=species:S:1:pos:R:3 comment="UGaOsRh, optimized geometry, DFT PBE" n_ef_per_ev_atom=1.28 magnetic_moment_mub_per_atom=0.4060 ef_mev_per_atom=-263 pbc="T T T"
U 2.314 -1.713 7.966
Rh 0.000 0.000 0.000
Ga 0.771 -0.571 2.655
Os 1.543 -1.142 5.311

***

No. 11
7
Lattice="4.376 0.000 0.000 0.000 4.376 0.000 -2.188 -2.188 7.891" Properties=species:S:1:pos:R:3 comment="Ca2ErBr2N2, optimized geometry, DFT PBE" formation_energy_uncorrected_mev_per_atom=-1321 n_ef_per_ev_atom=0.37 magnetic_moment_mub_per_atom=0.0273 pbc="T T T"
N 2.188 0.000 0.000
N 0.000 2.188 0.000
Ca 0.000 0.000 6.328
Ca 2.188 2.188 1.563
Er 0.000 0.000 0.000
Br 2.188 2.188 4.999
Br 0.000 0.000 2.892

***

No. 12
5
Lattice="-3.059 0.480 3.956 -3.957 -1.870 -2.833 1.158 -4.665 1.461" Properties=species:S:1:pos:R:3 comment="CsYOsPt2, optimized geometry, DFT PBE" n_ef_per_ev_atom=1.26 magnetic_moment_mub_per_atom=0.0000 ef_mev_per_atom=991 pbc="T T T"
Y -2.929 -3.028 1.292
Os 0.000 0.000 0.000
Pt -1.530 0.240 1.978
Pt 0.579 -2.333 0.731
Cs -1.979 -0.935 -1.417